(1)
This record from Alexandria via LeMat-Bulk describes a geometry-optimized DySeClO4 structure. The functional is GGA-PBE.

Values from the calculation:
calculated total energy: -5.96 eV per atom
uncorrected formation energy: -1.70 eV per atom
magnetization: 0.0 μB per formula unit

abc: 9.990 7.149 6.678
angles: 90.00 104.58 90.00
Space group C2/m (No. 12)
Symmetry-distinct sites (fractional):
Dy 0.222 0.000 0.125 x4
Se 0.137 0.500 0.271 x4
Cl 0.019 0.000 0.767 x4
O 0.031 0.500 0.757 x4
O 0.189 0.322 0.139 x8
O 0.225 0.500 0.514 x4

---

(2)
This record from Alexandria via LeMat-Bulk describes a geometry-optimized Dy3TaCl2O6 structure. The functional is GGA-PBE.

Values from the calculation:
calculated total energy: -7.75 eV per atom
uncorrected formation energy: -2.83 eV per atom
magnetization: 0.0 μB per formula unit

abc: 11.491 6.542 5.516
angles: 90.00 100.65 90.00
Space group C2/m (No. 12)
Symmetry-distinct sites (fractional):
Dy 0.000 0.000 0.000 x2
Dy 0.250 0.250 0.500 x4
Ta 0.000 0.500 0.500 x2
Cl 0.206 0.000 0.848 x4
O 0.058 0.264 0.296 x8
O 0.169 0.500 0.670 x4

---

(3)
This record from Alexandria via LeMat-Bulk describes a geometry-optimized DyTcClO4 structure. The functional is GGA-PBE.

Values from the calculation:
calculated total energy: -7.31 eV per atom
uncorrected formation energy: -2.07 eV per atom
magnetization: 1.0 μB per formula unit

abc: 10.351 7.150 6.876
angles: 90.00 105.04 90.00
Space group C2/m (No. 12)
Symmetry-distinct sites (fractional):
Dy 0.218 0.000 0.098 x4
Tc 0.134 0.500 0.282 x4
Cl 0.010 0.000 0.766 x4
O 0.041 0.500 0.787 x4
O 0.200 0.317 0.146 x8
O 0.217 0.500 0.538 x4

---

(4)
This record from Alexandria via LeMat-Bulk describes a geometry-optimized Dy3TcCl2O6 structure. The functional is GGA-PBE.

Values from the calculation:
calculated total energy: -7.12 eV per atom
uncorrected formation energy: -2.32 eV per atom
magnetization: 2.0 μB per formula unit

abc: 11.342 6.525 5.524
angles: 90.00 100.14 90.00
Space group C2/m (No. 12)
Symmetry-distinct sites (fractional):
Dy 0.000 0.000 0.000 x2
Dy 0.250 0.250 0.500 x4
Tc 0.000 0.500 0.500 x2
Cl 0.210 0.000 0.853 x4
O 0.057 0.262 0.296 x8
O 0.168 0.500 0.671 x4

---

(5)
This record from Alexandria via LeMat-Bulk describes a geometry-optimized DyTiClO3 structure. The functional is GGA-PBE.

Values from the calculation:
calculated total energy: -7.96 eV per atom
uncorrected formation energy: -3.09 eV per atom
magnetization: 0.0 μB per formula unit

abc: 9.884 3.912 9.876
angles: 90.00 106.26 90.00
Space group C2/m (No. 12)
Symmetry-distinct sites (fractional):
Dy 0.226 0.000 0.206 x4
Ti 0.119 0.500 0.429 x4
Cl 0.114 0.000 0.907 x4
O 0.076 0.500 0.625 x4
O 0.151 0.500 0.251 x4
O 0.170 0.000 0.435 x4

---

(6)
This record from Alexandria via LeMat-Bulk describes a geometry-optimized Dy4OsCl5 structure. The functional is GGA-PBE.

Values from the calculation:
calculated total energy: -5.44 eV per atom
uncorrected formation energy: -1.55 eV per atom
magnetization: 0.5 μB per formula unit

abc: 18.181 3.910 8.435
angles: 90.00 103.46 90.00
Space group C2/m (No. 12)
Symmetry-distinct sites (fractional):
Dy 0.006 0.000 0.229 x4
Dy 0.150 0.500 0.078 x4
Os 0.000 0.500 0.000 x2
Cl 0.000 0.500 0.500 x2
Cl 0.170 0.000 0.315 x4
Cl 0.179 0.000 0.862 x4

---

(7)
This record from Alexandria via LeMat-Bulk describes a geometry-optimized Dy5P4Cl structure. The functional is GGA-PBE.

Values from the calculation:
calculated total energy: -6.29 eV per atom
uncorrected formation energy: -1.64 eV per atom
magnetization: 0.0 μB per formula unit

abc: 13.294 4.001 9.852
angles: 90.00 119.71 90.00
Space group C2/m (No. 12)
Symmetry-distinct sites (fractional):
Dy 0.000 0.000 0.000 x2
Dy 0.110 0.500 0.388 x4
Dy 0.207 0.000 0.816 x4
P 0.096 0.500 0.893 x4
P 0.206 0.000 0.301 x4
Cl 0.000 0.000 0.500 x2

---

(8)
This record from Alexandria via LeMat-Bulk describes a geometry-optimized Dy4P3Cl structure. The functional is GGA-PBE.

Values from the calculation:
calculated total energy: -6.19 eV per atom
uncorrected formation energy: -1.63 eV per atom
magnetization: 0.0 μB per formula unit

abc: 8.030 11.300 3.989
angles: 90.00 90.00 90.00
Space group Cmmm (No. 65)
Symmetry-distinct sites (fractional):
Dy 0.000 0.241 0.000 x4
Dy 0.230 0.000 0.500 x4
P 0.000 0.000 0.000 x2
P 0.250 0.250 0.500 x4
Cl 0.000 0.500 0.000 x2

---

(9)
This record from Alexandria via LeMat-Bulk describes a geometry-optimized Dy2PCl3 structure. The functional is GGA-PBE.

Values from the calculation:
calculated total energy: -5.26 eV per atom
uncorrected formation energy: -1.90 eV per atom
magnetization: 0.0 μB per formula unit

abc: 16.367 4.184 12.451
angles: 90.00 124.95 90.00
Space group C2/m (No. 12)
Symmetry-distinct sites (fractional):
Dy 0.108 0.000 0.457 x4
Dy 0.137 0.500 0.824 x4
P 0.095 0.000 0.667 x4
Cl 0.058 0.500 0.271 x4
Cl 0.161 0.000 0.005 x4
Cl 0.237 0.500 0.596 x4

---

(10)
This record from Alexandria via LeMat-Bulk describes a geometry-optimized Dy6P3S2Cl structure. The functional is GGA-PBE.

Values from the calculation:
calculated total energy: -6.26 eV per atom
uncorrected formation energy: -1.77 eV per atom
magnetization: 0.0 μB per formula unit

abc: 17.367 3.965 7.970
angles: 90.00 103.51 90.00
Space group C2/m (No. 12)
Symmetry-distinct sites (fractional):
Dy 0.001 0.000 0.228 x4
Dy 0.165 0.500 0.089 x4
Dy 0.176 0.500 0.583 x4
P 0.000 0.500 0.000 x2
P 0.163 0.000 0.334 x4
S 0.165 0.000 0.830 x4
Cl 0.000 0.500 0.500 x2

---

(11)
This record from Alexandria via LeMat-Bulk describes a geometry-optimized Dy6P2Se3Cl structure. The functional is GGA-PBE.

Values from the calculation:
calculated total energy: -5.91 eV per atom
uncorrected formation energy: -1.68 eV per atom
magnetization: 0.0 μB per formula unit

abc: 17.606 4.028 8.120
angles: 90.00 102.95 90.00
Space group C2/m (No. 12)
Symmetry-distinct sites (fractional):
Dy 0.010 0.000 0.269 x4
Dy 0.172 0.500 0.572 x4
Dy 0.175 0.500 0.110 x4
P 0.167 0.000 0.334 x4
Se 0.000 0.500 0.500 x2
Se 0.160 0.000 0.837 x4
Cl 0.000 0.500 0.000 x2

---

(12)
This record from Alexandria via LeMat-Bulk describes a geometry-optimized Dy8P3Se4Cl structure. The functional is GGA-PBE.

Values from the calculation:
calculated total energy: -6.02 eV per atom
uncorrected formation energy: -1.71 eV per atom
magnetization: 0.0 μB per formula unit

abc: 8.0546 8.0546 19.9444
angles: 90.00 90.00 120.00
Space group R-3m (No. 166, hexagonal axes)
Symmetry-distinct sites (fractional):
Dy 0.0000 0.0000 0.2420 x6
Dy 0.0185 0.5093 0.7554 x18
P 0.0000 0.5000 0.5000 x9
Se 0.0000 0.0000 0.0000 x3
Se 0.0000 0.5000 0.0000 x9
Cl 0.0000 0.0000 0.5000 x3

---

(13)
This record from Alexandria via LeMat-Bulk describes a geometry-optimized Dy2PaCl structure. The functional is GGA-PBE.

Values from the calculation:
calculated total energy: -5.44 eV per atom
uncorrected formation energy: -0.30 eV per atom
magnetization: 0.0 μB per formula unit

abc: 3.2793 3.2793 33.0731
angles: 90.00 90.00 120.00
Space group R-3m (No. 166, hexagonal axes)
Symmetry-distinct sites (fractional):
Dy 0.0000 0.0000 0.0985 x6
Pa 0.0000 0.0000 0.0000 x3
Cl 0.0000 0.0000 0.5000 x3

---

(14)
This record from Alexandria via LeMat-Bulk describes a geometry-optimized DyPaCl2 structure. The functional is GGA-PBE.

Values from the calculation:
calculated total energy: -5.44 eV per atom
uncorrected formation energy: -0.99 eV per atom
magnetization: 0.6 μB per formula unit

abc: 3.4730 3.4730 29.0327
angles: 90.00 90.00 120.00
Space group R-3m (No. 166, hexagonal axes)
Symmetry-distinct sites (fractional):
Dy 0.0000 0.0000 0.0000 x3
Pa 0.0000 0.0000 0.5000 x3
Cl 0.0000 0.0000 0.0960 x6

---

(15)
This record from Alexandria via LeMat-Bulk describes a geometry-optimized Dy2PbCl structure. The functional is GGA-PBE.

Values from the calculation:
calculated total energy: -4.26 eV per atom
uncorrected formation energy: -0.57 eV per atom
magnetization: 0.0 μB per formula unit

abc: 3.5088 3.5088 31.8128
angles: 90.00 90.00 120.00
Space group R-3m (No. 166, hexagonal axes)
Symmetry-distinct sites (fractional):
Dy 0.0000 0.0000 0.0978 x6
Pb 0.0000 0.0000 0.0000 x3
Cl 0.0000 0.0000 0.5000 x3

---

(16)
This record from Alexandria via LeMat-Bulk describes a geometry-optimized DyTlPb2Cl8 structure. The functional is GGA-PBE.

Values from the calculation:
calculated total energy: -3.93 eV per atom
uncorrected formation energy: -1.50 eV per atom
magnetization: 0.0 μB per formula unit

abc: 6.571 8.942 6.863
angles: 90.00 90.86 90.00
Space group P2/m (No. 10)
Symmetry-distinct sites (fractional):
Dy 0.000 0.000 0.000 x1
Tl 0.000 0.500 0.000 x1
Pb 0.500 0.250 0.500 x2
Cl 0.231 0.212 0.159 x4
Cl 0.244 0.000 0.688 x2
Cl 0.276 0.500 0.632 x2

---

(17)
This record from Alexandria via LeMat-Bulk describes a geometry-optimized DyPdCl structure. The functional is GGA-PBE.

Values from the calculation:
calculated total energy: -5.15 eV per atom
uncorrected formation energy: -1.27 eV per atom
magnetization: 0.0 μB per formula unit

abc: 21.538 3.926 7.619
angles: 90.00 94.27 90.00
Space group C2/m (No. 12)
Symmetry-distinct sites (fractional):
Dy 0.152 0.000 0.098 x4
Dy 0.156 0.000 0.614 x4
Pd 0.244 0.500 0.123 x4
Pd 0.250 0.000 0.375 x4
Cl 0.068 0.000 0.342 x4
Cl 0.090 0.500 0.845 x4

---

(18)
This record from Alexandria via LeMat-Bulk describes a geometry-optimized Dy3TePdCl structure. The functional is GGA-PBE.

Values from the calculation:
calculated total energy: -5.11 eV per atom
uncorrected formation energy: -1.11 eV per atom
magnetization: 0.0 μB per formula unit

abc: 8.518 4.095 9.731
angles: 90.00 97.05 90.00
Space group P2_1/m (No. 11)
Symmetry-distinct sites (fractional):
Dy 0.136 0.250 0.309 x2
Dy 0.147 0.250 0.911 x2
Dy 0.306 0.750 0.619 x2
Te 0.411 0.750 0.317 x2
Pd 0.062 0.250 0.604 x2
Cl 0.355 0.750 0.913 x2

---

(19)
This record from Alexandria via LeMat-Bulk describes a geometry-optimized PmDyCl4 structure. The functional is GGA-PBE.

Values from the calculation:
calculated total energy: -4.67 eV per atom
uncorrected formation energy: -1.88 eV per atom
magnetization: 0.0 μB per formula unit

abc: 7.738 16.427 6.728
angles: 90.00 124.80 90.00
Space group C2/c (No. 15)
Symmetry-distinct sites (fractional):
Pm 0.000 0.056 0.250 x4
Dy 0.000 0.440 0.750 x4
Cl 0.233 0.431 0.240 x8
Cl 0.244 0.328 0.753 x8

---

(20)
This record from Alexandria via LeMat-Bulk describes a geometry-optimized PmDyCl structure. The functional is GGA-PBE.

Values from the calculation:
calculated total energy: -4.64 eV per atom
uncorrected formation energy: -0.90 eV per atom
magnetization: 0.4 μB per formula unit

abc: 3.7136 3.7136 7.1311
angles: 90.00 90.00 120.00
Space group P3m1 (No. 156)
Symmetry-distinct sites (fractional):
Pm 0.0000 0.0000 0.0000 x1
Dy 0.3333 0.6667 0.6169 x1
Cl 0.6667 0.3333 0.3210 x1

---

(21)
This record from Alexandria via LeMat-Bulk describes a geometry-optimized PmDyCl structure. The functional is GGA-PBE.

Values from the calculation:
calculated total energy: -4.63 eV per atom
uncorrected formation energy: -0.90 eV per atom
magnetization: 0.4 μB per formula unit

abc: 6.468 3.721 7.091
angles: 90.00 90.15 90.00
Space group P2_1/m (No. 11)
Symmetry-distinct sites (fractional):
Pm 0.084 0.250 0.304 x2
Dy 0.418 0.250 0.688 x2
Cl 0.263 0.750 0.995 x2

---

(22)
This record from Alexandria via LeMat-Bulk describes a geometry-optimized PmDyRhCl structure. The functional is GGA-PBE.

Values from the calculation:
calculated total energy: -5.80 eV per atom
uncorrected formation energy: -1.16 eV per atom
magnetization: 0.0 μB per formula unit

abc: 3.9819 3.9819 22.8312
angles: 90.00 90.00 120.00
Space group R3m (No. 160, hexagonal axes)
Symmetry-distinct sites (fractional):
Pm 0.0000 0.0000 0.0000 x3
Dy 0.0000 0.0000 0.8005 x3
Rh 0.0000 0.0000 0.4026 x3
Cl 0.0000 0.0000 0.2292 x3